Density functional theory data (PBE) for a relaxed Ag7SnAu4 crystal.

Cell lengths 5.161, 5.161, 11.932 Å; angles 107.22, 107.22, 47.29 degrees
Fractional coordinates of all 12 atoms:
1 Ag 0.000 0.000 0.000
2 Ag 0.000 0.000 0.245
3 Ag 0.000 0.000 0.755
4 Ag 0.330 0.330 0.588
5 Ag 0.335 0.335 0.837
6 Ag 0.665 0.665 0.163
7 Ag 0.670 0.670 0.412
8 Sn 0.000 0.000 0.500
9 Au 0.332 0.332 0.082
10 Au 0.334 0.334 0.329
11 Au 0.666 0.666 0.671
12 Au 0.668 0.668 0.918

- D(E_F) (states/eV/atom) = 0.201
- formation enthalpy at 0 K (eV per atom) = -0.042
- theoretical density (kg/m³) = 12488